<i>
## Mg2TlCdSe (PBE)

Data for a relaxed structure of Mg2TlCdSe.

Unit cell a=5.3401 b=5.3401 c=5.3625 alpha=90.00 beta=90.00 gamma=90.00
Space group P4/mmm (No. 123)
Unique sites:
1 Mg 0.0000 0.5000 0.0000 (multiplicity 2)
2 Tl 0.0000 0.0000 0.0000 (multiplicity 1)
3 Cd 0.0000 0.0000 0.5000 (multiplicity 1)
4 Se 0.5000 0.5000 0.5000 (multiplicity 1)

Computed properties:
crystal system	tetragonal
theoretical density	4825	kg/m3
magnetization	0.0	μB/f.u.
D(E_F)	1.33	states/eV per atom

<ii>
## Mg2TlCdSe (PBE)

Data for a relaxed structure of Mg2TlCdSe.

Unit cell a=5.0308 b=5.0308 c=6.2391 alpha=90.00 beta=90.00 gamma=90.00
Space group P4/mmm (No. 123)
Unique sites:
1 Mg 0.0000 0.5000 0.0000 (multiplicity 2)
2 Tl 0.0000 0.0000 0.5000 (multiplicity 1)
3 Cd 0.5000 0.5000 0.5000 (multiplicity 1)
4 Se 0.0000 0.0000 0.0000 (multiplicity 1)

Computed properties:
crystal system	tetragonal
theoretical density	4673	kg/m3
magnetization	0.0	μB/f.u.
D(E_F)	0.40	states/eV per atom

Most stable one: <ii>, least stable one: <i>.